A relaxed Cs3K2O8 crystal, computed with PBE.

Lattice parameters (Å, degrees): 7.3080 7.3080 5.3841 90.08 90.08 91.89
Last column: nearest neighbours and their distance in Å.
Sites, in units of the cell vectors:
Cs1 0.0000 0.0000 0.0000  8 O 3.10-3.33, 2 K 3.19
Cs2 0.2631 0.7369 0.5000  8 O 3.03-3.39
Cs3 0.7369 0.2631 0.5000  8 O 3.03-3.39
K1 0.3140 0.3140 0.9993  8 O 2.70-2.97
K2 0.6860 0.6860 0.0007  8 O 2.70-2.97
O1 0.0526 0.5811 0.0001  1 O 1.39
O2 0.1923 0.1923 0.4997  1 O 1.39
O3 0.3290 0.3290 0.4995  1 O 1.39
O4 0.4189 0.9474 0.9999  1 O 1.39
O5 0.5811 0.0526 0.0001  1 O 1.39
O6 0.6710 0.6710 0.5005  1 O 1.39
O7 0.8077 0.8077 0.5003  1 O 1.39
O8 0.9474 0.4189 0.9999  1 O 1.39

**Raw formation energy**: -0.8597 eV per atom
**Volume**: 22.11 A^3/atom
**Total energy**: -55.6 eV per cell



A relaxed Cs3LaTa crystal, computed with PBE.

Lattice parameters (Å, degrees): 7.0288 7.0288 7.0288 90.00 90.00 90.00
Last column: nearest neighbours and their distance in Å.
Sites, in units of the cell vectors:
Cs1 0.0000 0.0000 0.5000  2 La 3.51
Cs2 0.0000 0.5000 0.0000  2 La 3.51
Cs3 0.5000 0.0000 0.0000  2 La 3.51
La1 0.0000 0.0000 0.0000  6 Cs 3.51
Ta1 0.5000 0.5000 0.5000  12 Cs 4.97

**Volume**: 69.45 A^3/atom
**Formation enthalpy at 0 K**: 1998 meV/atom
**Total energy**: -9.3 eV per cell



A relaxed NaFeBr3 crystal, computed with PBE.

Lattice parameters (Å, degrees): 5.1960 5.1960 5.1960 90.00 90.00 90.00
Last column: nearest neighbours and their distance in Å.
Sites, in units of the cell vectors:
Na1 0.0000 0.0000 0.0000  12 Br 3.67
Fe1 0.5000 0.5000 0.5000  6 Br 2.60
Br1 0.0000 0.5000 0.5000  2 Fe 2.60
Br2 0.5000 0.0000 0.5000  2 Fe 2.60
Br3 0.5000 0.5000 0.0000  2 Fe 2.60

**ΔE to the lowest computed polymorph**: 165 meV/atom
**Raw formation energy**: -0.6821 eV per atom
**Volume**: 28.06 A^3/atom
**Total energy**: -18.2 eV per cell



A relaxed Ac2SmYS4 crystal, computed with PBE.

Lattice parameters (Å, degrees): 7.0596 4.0499 7.3662 90.00 108.45 90.00
Last column: nearest neighbours and their distance in Å.
Sites, in units of the cell vectors:
Ac1 0.0000 0.0000 0.0000  6 S 3.06
Ac2 0.5000 0.5000 0.0000  6 S 3.02
Sm1 0.0000 0.5000 0.5000  6 S 2.83-2.84
Y1 0.5000 0.0000 0.5000  6 S 2.80
S1 0.2457 0.0000 0.7248  1 Y 2.80, 2 Sm 2.83, 3 Ac 3.02-3.06
S2 0.2638 0.5000 0.2780  2 Y 2.80, 1 Sm 2.84, 3 Ac 3.02-3.06
S3 0.7362 0.5000 0.7220  2 Y 2.80, 1 Sm 2.84, 3 Ac 3.02-3.06
S4 0.7543 0.0000 0.2752  1 Y 2.80, 2 Sm 2.83, 3 Ac 3.02-3.06

**Raw formation energy**: -1.9963 eV per atom
**Volume**: 24.97 A^3/atom
**Total energy**: -51.9 eV per cell



A relaxed SmTh3Co2 crystal, computed with PBE.

Lattice parameters (Å, degrees): 7.1263 7.1263 7.4274 104.99 104.99 57.03
Last column: nearest neighbours and their distance in Å.
Sites, in units of the cell vectors:
Sm1 0.2367 0.7633 0.7500  4 Co 2.97-2.99
Sm2 0.7633 0.2367 0.2500  4 Co 2.97-2.99
Th1 0.2192 0.2233 0.1109  2 Co 2.62
Th2 0.2233 0.2192 0.6109  2 Co 2.62
Th3 0.2692 0.7308 0.2500  4 Co 2.83-2.87
Th4 0.7308 0.2692 0.7500  4 Co 2.83-2.87
Th5 0.7767 0.7808 0.3891  2 Co 2.62
Th6 0.7808 0.7767 0.8891  2 Co 2.62
Co1 0.3723 0.3791 0.4368  4 Th 2.62-2.87
Co2 0.3791 0.3723 0.9368  4 Th 2.62-2.87
Co3 0.6209 0.6277 0.0632  4 Th 2.62-2.87
Co4 0.6277 0.6209 0.5632  4 Th 2.62-2.87

**Volume**: 25.20 A^3/atom
**Formation enthalpy at 0 K**: -190 meV/atom
**Total energy**: -84.7 eV per cell



A relaxed RbGa5Pt2 crystal, computed with PBE.

Lattice parameters (Å, degrees): 4.2027 7.4034 10.8034 90.00 90.00 90.00
Last column: nearest neighbours and their distance in Å.
Sites, in units of the cell vectors:
Rb1 0.0000 0.0000 0.0000  10 Ga 3.51-3.70, 4 Pt 3.64
Rb2 0.5000 0.5000 0.5000  10 Ga 3.51-3.70, 4 Pt 3.64
Ga1 0.0000 0.1983 0.3412  3 Pt 2.56-2.66
Ga2 0.0000 0.1983 0.6588  3 Pt 2.56-2.66
Ga3 0.0000 0.5000 0.0000  2 Pt 2.43
Ga4 0.0000 0.8017 0.3412  3 Pt 2.56-2.66
Ga5 0.0000 0.8017 0.6588  3 Pt 2.56-2.66
Ga6 0.5000 0.0000 0.5000  2 Pt 2.43
Ga7 0.5000 0.3017 0.1588  3 Pt 2.56-2.66
Ga8 0.5000 0.3017 0.8412  3 Pt 2.56-2.66
Ga9 0.5000 0.6983 0.1588  3 Pt 2.56-2.66
Ga10 0.5000 0.6983 0.8412  3 Pt 2.56-2.66
Pt1 0.0000 0.5000 0.2245  7 Ga 2.43-2.66
Pt2 0.0000 0.5000 0.7755  7 Ga 2.43-2.66
Pt3 0.5000 0.0000 0.2755  7 Ga 2.43-2.66
Pt4 0.5000 0.0000 0.7245  7 Ga 2.43-2.66

**Volume**: 21.01 A^3/atom
**Formation enthalpy at 0 K**: -410 meV/atom
**Total energy**: -62.9 eV per cell



The highest total energy belongs to which entry? Cs3LaTa